This record from Alexandria via LeMat-Bulk describes a relaxed structure of NaNdMoO5. The functional is PBE with a Hubbard U.

- magnetization (μB per formula unit) = 0.00
- uncorrected energy (eV per atom) = -6.9226
- symmetry = C2/c

Cell lengths 6.440, 6.440, 8.269 Å; angles 102.47, 102.47, 112.12 degrees
Atoms (fractional coordinates):
1 Na 0.212 0.788 0.750
2 Na 0.788 0.212 0.250
3 Nd 0.500 0.500 0.000
4 Nd 0.500 0.500 0.500
5 Mo 0.199 0.801 0.250
6 Mo 0.801 0.199 0.750
7 O 0.068 0.270 0.920
8 O 0.164 0.566 0.345
9 O 0.270 0.068 0.420
10 O 0.418 0.582 0.750
11 O 0.434 0.836 0.155
12 O 0.566 0.164 0.845
13 O 0.582 0.418 0.250
14 O 0.730 0.932 0.580
15 O 0.836 0.434 0.655
16 O 0.932 0.730 0.080